Material: DyU2MnN5
Method: DFT, PBE-GGA
State: optimized geometry

Values from the calculation:
Formation energy from raw total energies in eV per atom: -1.13
Raw total energy in eV/atom: -9.796

Unit cell a=5.5004 b=6.4029 c=6.4029 alpha=90.00 beta=90.00 gamma=90.00
Site moments in Bohr magnetons follow the coordinates.
Sites, in units of the cell vectors:
Dy 0.0000 0.5000 0.5000  -0.04
N 0.2382 0.6531 0.8469  0.04
N 0.7618 0.1531 0.6531  0.04
N 0.7618 0.3469 0.1531  0.04
U 0.5000 0.1692 0.3308  -0.76
Mn 0.0000 0.5000 0.0000  2.23
N 0.2382 0.1531 0.6531  0.04
N 0.5000 0.5000 0.5000  0.07
Dy 0.0000 0.0000 0.0000  -0.04
Mn 0.0000 0.0000 0.5000  2.23
N 0.7618 0.8469 0.3469  0.04
N 0.5000 0.0000 0.0000  0.07
N 0.7618 0.6531 0.8469  0.04
N 0.2382 0.8469 0.3469  0.04
N 0.2382 0.3469 0.1531  0.04
U 0.5000 0.3308 0.8308  -0.76
U 0.5000 0.6692 0.1692  -0.76
U 0.5000 0.8308 0.6692  -0.76